(1)
Material: KNp2MoO8
Method: DFT, PBE+U
State: relaxed

abc: 5.0446 5.0443 7.0780
angles: 91.15 91.15 87.31
Each line ends with the local moment (μB).
Element x y z (fractional)
O 0.3378 0.3375 0.5323  -0.07
O 0.2199 0.7824 0.7872  -0.07
O 0.2172 0.7797 0.2128  -0.07
O 0.3060 0.3056 0.0109  -0.06
O 0.7801 0.2176 0.2128  -0.07
O 0.7828 0.2203 0.7872  -0.07
O 0.6940 0.6944 0.9891  -0.06
O 0.6622 0.6625 0.4677  -0.07
Np 0.4920 0.4920 0.2437  1.43
Np 0.5080 0.5080 0.7563  1.43
Mo 0.0000 0.0000 0.0000  2.58
K 0.0000 0.0000 0.5000  0.00

**E**: -8.516 eV per atom
**Symmetry**: C2/m (12)
**Crystal system**: monoclinic
**Magnetization**: 5.0 μB/cell



(2)
Material: K2NpMoO6
Method: DFT, PBE+U
State: relaxed

abc: 5.8779 5.8792 8.3377
angles: 90.00 90.00 90.00
Each line ends with the local moment (μB).
Element x y z (fractional)
K 0.5000 0.7500 0.2500  0.00
K 0.0000 0.2500 0.2500  0.00
K 0.5000 0.7500 0.7500  0.00
K 0.0000 0.2500 0.7500  0.00
O 0.0000 0.7500 0.7553  -0.04
O 0.7448 0.0053 0.0000  -0.05
O 0.7448 0.4948 0.0000  -0.05
O 0.7552 0.5052 0.5000  -0.05
O 0.2448 0.5052 0.5000  -0.05
O 0.5000 0.2500 0.2553  -0.04
O 0.2552 0.4948 0.0000  -0.05
O 0.0000 0.7500 0.2447  -0.04
O 0.2448 0.9947 0.5000  -0.05
O 0.5000 0.2500 0.7447  -0.04
O 0.7552 0.9947 0.5000  -0.05
O 0.2552 0.0053 0.0000  -0.05
Mo 0.5000 0.2500 0.0000  1.67
Mo 0.0000 0.7500 0.5000  1.67
Np 0.0000 0.7500 0.0000  1.53
Np 0.5000 0.2500 0.5000  1.53

**E**: -7.452 eV per atom
**Symmetry**: I4/mmm (139)
**Crystal system**: tetragonal
**Magnetization**: 6.0 μB/cell



(3)
Material: K2NpMo3O12
Method: DFT, PBE+U
State: relaxed

abc: 7.5730 7.5730 7.5730
angles: 58.53 58.53 58.53
Each line ends with the local moment (μB).
Element x y z (fractional)
O 0.9274 0.3318 0.9274  -0.05
O 0.6954 0.6954 0.0637  -0.07
O 0.0726 0.6682 0.0726  -0.05
O 0.0637 0.6954 0.6954  -0.07
O 0.3318 0.9274 0.9274  -0.05
O 0.3046 0.3046 0.9363  -0.07
O 0.3046 0.9363 0.3046  -0.07
O 0.6954 0.0637 0.6954  -0.07
O 0.6682 0.0726 0.0726  -0.05
O 0.9274 0.9274 0.3318  -0.05
O 0.9363 0.3046 0.3046  -0.07
O 0.0726 0.0726 0.6682  -0.05
Np 0.0000 0.0000 0.0000  1.59
K 0.6519 0.6519 0.6519  0.00
K 0.3481 0.3481 0.3481  0.00
Mo 0.0000 0.5000 0.0000  0.72
Mo 0.5000 0.0000 0.0000  0.72
Mo 0.0000 0.0000 0.5000  0.72

**E**: -7.272 eV per atom
**Symmetry**: R-3m (166)
**Crystal system**: trigonal
**Magnetization**: 3.0 μB/cell



(4)
Material: KMoO4
Method: DFT, PBE+U
State: relaxed

abc: 5.6062 7.5129 7.5129
angles: 118.32 96.16 96.16
Each line ends with the local moment (μB).
Element x y z (fractional)
O 0.9218 0.9277 0.3385  0.44
O 0.0782 0.0723 0.6615  0.44
O 0.2059 0.3403 0.4959  0.04
O 0.2941 0.0041 0.1597  0.04
O 0.7941 0.6597 0.5041  0.04
O 0.5782 0.1615 0.5723  0.44
O 0.4218 0.8385 0.4277  0.44
O 0.7059 0.9959 0.8403  0.04
K 0.2500 0.7399 0.7601  0.00
K 0.7500 0.2601 0.2399  0.00
Mo 0.7500 0.9141 0.5859  -0.10
Mo 0.2500 0.0859 0.4141  -0.10

**Distance to the lowest polymorph of the same formula**: 0 meV per atom
**E**: -6.113 eV per atom
**Symmetry**: C2/c (15)
**Crystal system**: monoclinic
**Magnetization**: 2.1 μB/cell



(5)
Material: K3MoO6
Method: DFT, PBE+U
State: relaxed

abc: 6.3396 6.4741 9.0127
angles: 90.00 90.06 90.00
Each line ends with the local moment (μB).
Element x y z (fractional)
O 0.0804 0.0338 0.7955  0.46
O 0.9196 0.9662 0.2045  0.46
O 0.2468 0.8333 0.0348  0.46
O 0.5804 0.4662 0.2955  0.46
O 0.7468 0.6667 0.5348  0.46
O 0.1591 0.2442 0.0505  0.46
O 0.2532 0.3333 0.4652  0.46
O 0.4196 0.5338 0.7045  0.46
O 0.3409 0.7442 0.4495  0.46
O 0.6591 0.2558 0.5505  0.46
O 0.8409 0.7558 0.9495  0.46
O 0.7532 0.1667 0.9652  0.46
K 0.0000 0.0000 0.5000  0.00
K 0.9913 0.4623 0.7495  0.00
K 0.4913 0.0377 0.2495  0.00
K 0.5087 0.9623 0.7505  0.00
K 0.5000 0.5000 0.0000  0.00
K 0.0087 0.5377 0.2505  0.00
Mo 0.0000 0.0000 0.0000  -0.36
Mo 0.5000 0.5000 0.5000  -0.36

**E**: -5.256 eV per atom
**Symmetry**: P2_1/c (14)
**Crystal system**: monoclinic
**Magnetization**: 6.0 μB/cell



(6)
Material: KMo2O6
Method: DFT, PBE+U
State: relaxed

abc: 5.6438 8.3688 8.3688
angles: 74.36 78.11 78.11
Each line ends with the local moment (μB).
Element x y z (fractional)
O 0.7738 0.1982 0.0217  -0.04
O 0.6583 0.7096 0.6961  -0.06
O 0.1445 0.0397 0.5741  -0.01
O 0.2262 0.8018 0.9783  -0.04
O 0.8555 0.9603 0.4259  -0.01
O 0.6445 0.5741 0.0397  -0.01
O 0.7262 0.9783 0.8018  -0.04
O 0.3555 0.4259 0.9603  -0.01
O 0.2738 0.0217 0.1982  -0.04
O 0.3417 0.2904 0.3039  -0.06
O 0.1583 0.6961 0.7096  -0.06
O 0.8417 0.3039 0.2904  -0.06
Mo 0.1098 0.1318 0.3471  0.61
Mo 0.6098 0.3471 0.1318  0.61
Mo 0.3902 0.6529 0.8682  0.61
Mo 0.8902 0.8682 0.6529  0.61
K 0.7500 0.8411 0.1589  0.00
K 0.2500 0.1589 0.8411  0.00

**Distance to the lowest polymorph of the same formula**: 12 meV per atom
**E**: -6.658 eV per atom
**Symmetry**: C2/c (15)
**Crystal system**: monoclinic
**Magnetization**: 2.0 μB/cell